Record 1
The following is a PBE calculation of a relaxed PmSiRh2 crystal, from the Alexandria database.

Summary:
ΔE to the lowest computed polymorph	1.17	eV per formula unit
ΔE_f (raw)	-60.7	kJ/mol of atoms

abc: 3.038 3.038 7.263
angles: 90.00 90.00 90.00
Space group P4/mmm (No. 123)
Unique sites:
Pm (0.000, 0.000, 0.000) (multiplicity 1)
Si (0.000, 0.000, 0.500) (multiplicity 1)
Rh (0.500, 0.500, 0.310) (multiplicity 2)

---

Record 2
The following is a PBE calculation of a relaxed CrAs2Se crystal, from the Alexandria database.

Summary:
ΔE_f (raw)	3.4	kJ/mol of atoms

abc: 3.1567 3.1567 26.6152
angles: 90.00 90.00 120.00
Space group R3m (No. 160, hexagonal axes)
Unique sites:
Cr (0.0000, 0.0000, 0.0000) (multiplicity 3)
As (0.0000, 0.0000, 0.2661) (multiplicity 3)
As (0.0000, 0.0000, 0.5257) (multiplicity 3)
Se (0.0000, 0.0000, 0.7250) (multiplicity 3)

---

Record 3
The following is a PBE calculation of a relaxed Sc2CdAg crystal, from the Alexandria database.

Summary:
energy of formation from the pure elements	-0.192	eV per atom

abc: 3.581 3.581 6.663
angles: 90.00 90.00 90.00
Space group P4mm (No. 99)
Unique sites:
Sc (0.000, 0.000, 0.000) (multiplicity 1)
Sc (0.500, 0.500, 0.285) (multiplicity 1)
Cd (0.500, 0.500, 0.756) (multiplicity 1)
Ag (0.000, 0.000, 0.513) (multiplicity 1)

---

Record 4
The following is a PBE calculation of a relaxed BaTaNi crystal, from the Alexandria database.

Summary:
energy of formation from the pure elements	1.272	eV per atom
ΔE to the lowest computed polymorph	2.50	eV per formula unit

abc: 6.774 6.774 6.774
angles: 90.00 90.00 90.00
Space group F-43m (No. 216)
Unique sites:
Ba (0.000, 0.000, 0.000) (multiplicity 4)
Ta (0.000, 0.000, 0.500) (multiplicity 4)
Ni (0.250, 0.250, 0.250) (multiplicity 4)